[1]
Pu2AsI | PBE | optimized geometry

- Formation energy (no corrections): -790 meV/atom
- Total DFT energy (no corrections): -38.02 eV for the cell shown
- Space group: P4/mmm

Lattice parameters (Å, degrees): 3.6812 3.6812 7.6654 90.00 90.00 90.00
Element x y z (fractional)
Pu 0.0000 0.0000 0.2087
Pu 0.0000 0.0000 0.7913
As 0.5000 0.5000 0.0000
I 0.5000 0.5000 0.5000



[2]
SbMoCl3 | PBE | optimized geometry

- Formation energy (no corrections): 485 meV/atom
- Offset from the most stable computed form: 377.2 meV/atom
- Total DFT energy (no corrections): -18.07 eV for the cell shown
- Space group: Pm-3m

Lattice parameters (Å, degrees): 5.4116 5.4116 5.4116 90.00 90.00 90.00
Element x y z (fractional)
Sb 0.0000 0.0000 0.0000
Mo 0.5000 0.5000 0.5000
Cl 0.0000 0.0000 0.5000
Cl 0.0000 0.5000 0.0000
Cl 0.5000 0.0000 0.0000



[3]
TlGaAuCl2 | PBE | optimized geometry

- Formation energy (no corrections): -521 meV/atom
- Total DFT energy (no corrections): -14.97 eV for the cell shown
- Space group: P4/mmm

Lattice parameters (Å, degrees): 5.2519 5.2519 5.0171 90.00 90.00 90.00
Element x y z (fractional)
Tl 0.0000 0.0000 0.0000
Ga 0.5000 0.5000 0.5000
Au 0.5000 0.5000 0.0000
Cl 0.0000 0.5000 0.5000
Cl 0.5000 0.0000 0.5000



[4]
TaTcS2 | PBE | optimized geometry

- Formation energy (no corrections): -120 meV/atom
- Offset from the most stable computed form: 182.4 meV/atom
- Total DFT energy (no corrections): -123.81 eV for the cell shown
- Space group: I-42d

Lattice parameters (Å, degrees): 5.4262 5.4262 10.4678 90.00 90.00 90.00
Element x y z (fractional)
Ta 0.0000 0.0000 0.0000
Ta 0.0000 0.5000 0.2500
Ta 0.5000 0.0000 0.7500
Ta 0.5000 0.5000 0.5000
Tc 0.0000 0.0000 0.5000
Tc 0.0000 0.5000 0.7500
Tc 0.5000 0.0000 0.2500
Tc 0.5000 0.5000 0.0000
S 0.2356 0.2500 0.6250
S 0.2500 0.7356 0.8750
S 0.2500 0.7644 0.3750
S 0.2644 0.2500 0.1250
S 0.7356 0.7500 0.1250
S 0.7500 0.2356 0.3750
S 0.7500 0.2644 0.8750
S 0.7644 0.7500 0.6250



[5]
SrLaGa | PBE | optimized geometry

- Offset from the most stable computed form: 10.4 meV/atom
- Total DFT energy (no corrections): -21.43 eV for the cell shown
- Formation energy: -0.36 eV per atom
- Space group: P2_1/m

Lattice parameters (Å, degrees): 4.5457 4.2625 11.5724 90.00 101.27 90.00
Element x y z (fractional)
Sr 0.1864 0.2500 0.3731
Sr 0.8136 0.7500 0.6269
La 0.4307 0.2500 0.8608
La 0.5693 0.7500 0.1392
Ga 0.0349 0.2500 0.0703
Ga 0.9651 0.7500 0.9297



[6]
GdPuCoCu | PBE | optimized geometry

- Total DFT energy (no corrections): -158.20 eV for the cell shown
- Formation energy: 0.02 eV per atom
- Space group: F-43m

Lattice parameters (Å, degrees): 6.8261 6.8261 6.8261 90.00 90.00 90.00
Element x y z (fractional)
Gd 0.0000 0.0000 0.0000
Gd 0.0000 0.5000 0.5000
Gd 0.5000 0.0000 0.5000
Gd 0.5000 0.5000 0.0000
Pu 0.0000 0.0000 0.5000
Pu 0.0000 0.5000 0.0000
Pu 0.5000 0.0000 0.0000
Pu 0.5000 0.5000 0.5000
Co 0.2500 0.2500 0.2500
Co 0.2500 0.7500 0.7500
Co 0.7500 0.2500 0.7500
Co 0.7500 0.7500 0.2500
Cu 0.2500 0.2500 0.7500
Cu 0.2500 0.7500 0.2500
Cu 0.7500 0.2500 0.2500
Cu 0.7500 0.7500 0.7500



[7]
K2CrP | PBE | optimized geometry

- Total DFT energy (no corrections): -16.83 eV for the cell shown
- Formation energy: 0.10 eV per atom
- Space group: P4mm

Lattice parameters (Å, degrees): 3.5058 3.5058 10.0054 90.00 90.00 90.00
Element x y z (fractional)
K 0.0000 0.0000 0.0000
K 0.5000 0.5000 0.4079
Cr 0.5000 0.5000 0.7186
P 0.0000 0.0000 0.6675



[8]
LaPu2Au3 | PBE | optimized geometry

- Total DFT energy (no corrections): -46.54 eV for the cell shown
- Formation energy: -0.52 eV per atom
- Space group: P4/mmm

Lattice parameters (Å, degrees): 3.6432 3.6432 11.3165 90.00 90.00 90.00
Element x y z (fractional)
La 0.0000 0.0000 0.0000
Pu 0.0000 0.0000 0.3375
Pu 0.0000 0.0000 0.6625
Au 0.5000 0.5000 0.1726
Au 0.5000 0.5000 0.5000
Au 0.5000 0.5000 0.8274



[9]
Pm3Y2Sc | PBE | optimized geometry

- Offset from the most stable computed form: 101.3 meV/atom
- Total DFT energy (no corrections): -65.41 eV for the cell shown
- Formation energy: 0.13 eV per atom
- Space group: C2/c

Lattice parameters (Å, degrees): 9.1601 9.1601 6.7939 99.77 99.77 43.44
Element x y z (fractional)
Pm 0.2375 0.7625 0.7500
Pm 0.2907 0.4193 0.9724
Pm 0.4193 0.2907 0.4724
Pm 0.5807 0.7093 0.5276
Pm 0.7093 0.5807 0.0276
Pm 0.7625 0.2375 0.2500
Y 0.1032 0.2443 0.6177
Y 0.2443 0.1032 0.1177
Y 0.7557 0.8968 0.8823
Y 0.8968 0.7557 0.3823
Sc 0.2336 0.7664 0.2500
Sc 0.7664 0.2336 0.7500



[10]
NaLaHf2 | PBE | optimized geometry

- Offset from the most stable computed form: 26.3 meV/atom
- Total DFT energy (no corrections): -91.82 eV for the cell shown
- Formation energy: 0.80 eV per atom
- Space group: Fm-3m

Lattice parameters (Å, degrees): 7.4770 7.4770 7.4770 90.00 90.00 90.00
Element x y z (fractional)
Na 0.0000 0.0000 0.0000
Na 0.0000 0.5000 0.5000
Na 0.5000 0.0000 0.5000
Na 0.5000 0.5000 0.0000
La 0.0000 0.0000 0.5000
La 0.0000 0.5000 0.0000
La 0.5000 0.0000 0.0000
La 0.5000 0.5000 0.5000
Hf 0.2500 0.2500 0.2500
Hf 0.2500 0.2500 0.7500
Hf 0.2500 0.7500 0.2500
Hf 0.2500 0.7500 0.7500
Hf 0.7500 0.2500 0.2500
Hf 0.7500 0.2500 0.7500
Hf 0.7500 0.7500 0.2500
Hf 0.7500 0.7500 0.7500



[11]
TcSN2F | PBE | optimized geometry

- Formation energy (no corrections): 2205 meV/atom
- Offset from the most stable computed form: 1629.1 meV/atom
- Total DFT energy (no corrections): -21.99 eV for the cell shown
- Space group: P4/mmm

Lattice parameters (Å, degrees): 3.8651 3.8651 3.8783 90.00 90.00 90.00
Element x y z (fractional)
Tc 0.0000 0.0000 0.0000
S 0.5000 0.5000 0.0000
N 0.0000 0.5000 0.5000
N 0.5000 0.0000 0.5000
F 0.5000 0.5000 0.5000



[12]
LaThGa2 | PBE | optimized geometry

- Offset from the most stable computed form: 71.5 meV/atom
- Total DFT energy (no corrections): -20.27 eV for the cell shown
- Formation energy: -0.47 eV per atom
- Space group: P4/mmm

Lattice parameters (Å, degrees): 5.3502 5.3502 3.6267 90.00 90.00 90.00
Element x y z (fractional)
La 0.0000 0.0000 0.0000
Th 0.5000 0.5000 0.0000
Ga 0.0000 0.5000 0.5000
Ga 0.5000 0.0000 0.5000



Density of states at the Fermi level list, top to bottom, in states/eV/f.u.: 13.20, 3.17, 1.01, 2.71, 4.09, 12.11, 1.07, 20.65, 8.40, 5.66, 3.06, 2.61